1.
## La2AlSiRh6 (GGA-PBE)

Data for an optimized crystal structure of La2AlSiRh6.

Formation energy without anion corrections: -0.578 eV/atom
Space group: No. 71
Volume: 188.9 Å³ per cell

Lattice parameters (Å, degrees): 6.439 6.441 6.452 59.96 59.95 90.01
Positions (direct):
1 Rh 0.254 0.746 0.000
2 Rh 0.746 0.254 0.000
3 Rh 0.746 0.746 0.000
4 Rh 0.746 0.746 0.508
5 Rh 0.254 0.254 0.492
6 Rh 0.254 0.254 0.000
7 La 0.250 0.750 0.500
8 La 0.750 0.250 0.500
9 Si 0.500 0.500 0.000
10 Al 0.000 0.000 0.000



2.
## LaAlSiRh6 (GGA-PBE)

Data for an optimized crystal structure of LaAlSiRh6.

Formation energy without anion corrections: -0.259 eV/atom
Space group: No. 74
Volume: 318.7 Å³ per cell

Lattice parameters (Å, degrees): 6.155 9.167 7.898 125.47 112.93 90.00
Positions (direct):
1 Rh 0.643 0.880 0.735
2 Rh 0.918 0.168 0.835
3 Rh 0.357 0.645 0.265
4 Rh 0.909 0.120 0.265
5 Rh 0.091 0.880 0.735
6 Rh 0.576 0.326 0.153
7 Rh 0.091 0.355 0.735
8 Rh 0.909 0.645 0.265
9 Rh 0.424 0.674 0.847
10 Rh 0.082 0.832 0.165
11 Rh 0.357 0.120 0.265
12 Rh 0.643 0.355 0.735
13 Si 0.500 0.000 0.000
14 Si 0.500 0.500 0.000
15 Al 0.000 0.000 0.500
16 Al 0.500 0.000 0.500
17 La 0.824 0.574 0.649
18 La 0.176 0.426 0.351



3.
## LaAlSiRh3 (GGA-PBE)

Data for an optimized crystal structure of LaAlSiRh3.

Formation energy without anion corrections: -0.740 eV/atom
Space group: No. 63
Volume: 241.4 Å³ per cell

Lattice parameters (Å, degrees): 5.866 5.838 7.628 112.50 90.00 90.00
Positions (direct):
1 Rh 0.250 0.237 0.474
2 Rh 0.500 0.250 0.000
3 Rh 0.000 0.750 0.000
4 Rh 0.500 0.750 0.000
5 Rh 0.750 0.763 0.526
6 Rh 0.000 0.250 0.000
7 Al 0.750 0.592 0.183
8 Al 0.250 0.408 0.817
9 La 0.750 0.254 0.509
10 La 0.250 0.746 0.491
11 Si 0.250 0.074 0.147
12 Si 0.750 0.926 0.853



4.
## La2AlSi3Rh4 (GGA-PBE)

Data for an optimized crystal structure of La2AlSi3Rh4.

Formation energy without anion corrections: -1.026 eV/atom
Space group: No. 115
Volume: 179.6 Å³ per cell

Lattice parameters (Å, degrees): 4.208 4.208 10.143 90.00 90.00 90.00
Positions (direct):
1 Rh 0.000 0.000 0.000
2 Rh 0.500 0.000 0.633
3 Rh 0.000 0.500 0.367
4 Rh 0.500 0.500 0.000
5 Si 0.000 0.000 0.500
6 Si 0.500 0.000 0.876
7 Si 0.000 0.500 0.124
8 La 0.000 0.500 0.748
9 La 0.500 0.000 0.252
10 Al 0.500 0.500 0.500



5.
## La2Al2SnRh5 (GGA-PBE)

Data for an optimized crystal structure of La2Al2SnRh5.

Space group: No. 127
Volume: 367.8 Å³ per cell
Uncorrected energy: -66.1 eV/f.u.

Lattice parameters (Å, degrees): 3.580 10.136 10.136 90.00 90.00 90.00
Positions (direct):
1 Rh 0.500 0.712 0.432
2 Rh 0.500 0.568 0.712
3 Rh 0.500 0.000 0.500
4 Rh 0.500 0.068 0.788
5 Rh 0.500 0.288 0.568
6 Rh 0.500 0.500 0.000
7 Rh 0.500 0.212 0.068
8 Rh 0.500 0.788 0.932
9 Rh 0.500 0.932 0.212
10 Rh 0.500 0.432 0.288
11 Al 0.000 0.119 0.619
12 Al 0.000 0.881 0.381
13 Al 0.000 0.381 0.119
14 Al 0.000 0.619 0.881
15 Sn 0.000 0.500 0.500
16 Sn 0.000 0.000 0.000
17 La 0.000 0.822 0.678
18 La 0.000 0.178 0.322
19 La 0.000 0.678 0.178
20 La 0.000 0.322 0.822



6.
## SrLa2AlRh (GGA-PBE)

Data for an optimized crystal structure of SrLa2AlRh.

Space group: No. 123
Volume: 160.1 Å³ per cell
Uncorrected energy: -24.3 eV/f.u.

Lattice parameters (Å, degrees): 5.613 5.613 5.083 90.00 90.00 90.00
Positions (direct):
1 Sr 0.500 0.500 0.500
2 La 0.000 0.500 0.000
3 La 0.500 0.000 0.000
4 Al 0.000 0.000 0.500
5 Rh 0.000 0.000 0.000



7.
## LaTaAlRh2 (GGA-PBE)

Data for an optimized crystal structure of LaTaAlRh2.

Space group: No. 123
Volume: 102.8 Å³ per cell
Uncorrected energy: -34.0 eV/f.u.

Lattice parameters (Å, degrees): 4.576 4.910 4.576 90.00 90.00 90.00
Positions (direct):
1 Rh 0.500 0.000 0.000
2 Rh 0.000 0.000 0.500
3 La 0.500 0.500 0.500
4 Ta 0.000 0.500 0.000
5 Al 0.000 0.000 0.000



8.
## LaTiAlRh2 (GGA-PBE)

Data for an optimized crystal structure of LaTiAlRh2.

Space group: No. 119
Volume: 97.4 Å³ per cell
Uncorrected energy: -35.2 eV/f.u.

Lattice parameters (Å, degrees): 4.105 4.105 6.467 108.50 108.50 90.00
Positions (direct):
1 Rh 0.619 0.619 0.239
2 Rh 0.381 0.381 0.761
3 Al 0.750 0.250 0.500
4 La 0.000 0.000 0.000
5 Ti 0.250 0.750 0.500



9.
## La2Al2TlRh5 (GGA-PBE)

Data for an optimized crystal structure of La2Al2TlRh5.

Space group: No. 127
Volume: 373.0 Å³ per cell
Uncorrected energy: -63.4 eV/f.u.

Lattice parameters (Å, degrees): 3.631 10.135 10.135 90.00 90.00 90.00
Positions (direct):
1 Rh 0.500 0.000 0.500
2 Rh 0.500 0.931 0.217
3 Rh 0.500 0.217 0.069
4 Rh 0.500 0.569 0.717
5 Rh 0.500 0.783 0.931
6 Rh 0.500 0.500 0.000
7 Rh 0.500 0.283 0.569
8 Rh 0.500 0.431 0.283
9 Rh 0.500 0.069 0.783
10 Rh 0.500 0.717 0.431
11 La 0.000 0.179 0.321
12 La 0.000 0.321 0.821
13 La 0.000 0.679 0.179
14 La 0.000 0.821 0.679
15 Al 0.000 0.382 0.118
16 Al 0.000 0.118 0.618
17 Al 0.000 0.618 0.882
18 Al 0.000 0.882 0.382
19 Tl 0.000 0.000 0.000
20 Tl 0.000 0.500 0.500



10.
## LaYAlRh (GGA-PBE)

Data for an optimized crystal structure of LaYAlRh.

Space group: No. 216
Volume: 95.2 Å³ per cell
Uncorrected energy: -24.3 eV/f.u.

Lattice parameters (Å, degrees): 5.126 5.126 5.126 60.00 60.00 60.00
Positions (direct):
1 Rh 0.000 0.000 0.000
2 Y 0.750 0.750 0.750
3 Al 0.500 0.500 0.500
4 La 0.250 0.250 0.250



11.
## La2AlZn2Rh5 (GGA-PBE)

Data for an optimized crystal structure of La2AlZn2Rh5.

Space group: No. 127
Volume: 351.3 Å³ per cell
Uncorrected energy: -59.0 eV/f.u.

Lattice parameters (Å, degrees): 3.550 9.947 9.947 90.00 90.00 90.00
Positions (direct):
1 Zn 0.000 0.875 0.375
2 Zn 0.000 0.375 0.125
3 Zn 0.000 0.625 0.875
4 Zn 0.000 0.125 0.625
5 Rh 0.500 0.940 0.198
6 Rh 0.500 0.302 0.560
7 Rh 0.500 0.060 0.802
8 Rh 0.500 0.698 0.440
9 Rh 0.500 0.560 0.698
10 Rh 0.500 0.440 0.302
11 Rh 0.500 0.500 0.000
12 Rh 0.500 0.802 0.940
13 Rh 0.500 0.198 0.060
14 Rh 0.500 0.000 0.500
15 La 0.000 0.326 0.826
16 La 0.000 0.826 0.674
17 La 0.000 0.674 0.174
18 La 0.000 0.174 0.326
19 Al 0.000 0.500 0.500
20 Al 0.000 0.000 0.000



12.
## LaAl2ZnRh (GGA-PBE)

Data for an optimized crystal structure of LaAl2ZnRh.

Space group: No. 123
Volume: 106.6 Å³ per cell
Uncorrected energy: -23.7 eV/f.u.

Lattice parameters (Å, degrees): 4.694 4.694 4.837 90.00 90.00 90.00
Positions (direct):
1 Al 0.500 0.000 0.000
2 Al 0.000 0.500 0.000
3 Rh 0.000 0.000 0.000
4 La 0.500 0.500 0.500
5 Zn 0.000 0.000 0.500



13.
## La3AlRu (GGA-PBE)

Data for an optimized crystal structure of La3AlRu.

Space group: No. 2
Volume: 287.3 Å³ per cell
Uncorrected energy: -29.2 eV/f.u.

Lattice parameters (Å, degrees): 5.534 6.536 9.440 108.95 89.37 115.83
Positions (direct):
1 La 0.620 0.251 0.927
2 La 0.856 0.706 0.359
3 La 0.124 0.244 0.254
4 La 0.876 0.756 0.746
5 La 0.144 0.294 0.641
6 La 0.380 0.749 0.073
7 Al 0.586 0.176 0.441
8 Al 0.414 0.824 0.559
9 Ru 0.903 0.792 0.062
10 Ru 0.097 0.208 0.938



14.
## LaAl3Ru (GGA-PBE)

Data for an optimized crystal structure of LaAl3Ru.

Space group: No. 194
Volume: 410.8 Å³ per cell
Uncorrected energy: -28.1 eV/f.u.

Lattice parameters (Å, degrees): 6.502 6.502 11.219 90.00 90.00 120.00
Positions (direct):
1 Ru 0.667 0.333 0.125
2 Ru 0.333 0.667 0.875
3 Ru 0.667 0.333 0.375
4 Ru 0.333 0.667 0.625
5 Al 0.500 0.000 0.500
6 Al 0.145 0.855 0.750
7 Al 0.855 0.710 0.250
8 Al 0.500 0.500 0.000
9 Al 0.290 0.145 0.250
10 Al 0.855 0.145 0.250
11 Al 0.500 0.500 0.500
12 Al 0.145 0.290 0.750
13 Al 0.000 0.500 0.500
14 Al 0.710 0.855 0.750
15 Al 0.000 0.500 0.000
16 Al 0.500 0.000 0.000
17 La 0.000 0.000 0.000
18 La 0.000 0.000 0.500
19 La 0.333 0.667 0.250
20 La 0.667 0.333 0.750



15.
## LaAl2Ru (GGA-PBE)

Data for an optimized crystal structure of LaAl2Ru.

Space group: No. 10
Volume: 81.0 Å³ per cell
Uncorrected energy: -22.7 eV/f.u.

Lattice parameters (Å, degrees): 4.505 3.302 5.642 74.80 90.00 90.00
Positions (direct):
1 Al 0.000 0.898 0.946
2 Al 0.000 0.602 0.554
3 Ru 0.500 0.750 0.750
4 La 0.500 0.250 0.250



16.
## La2Al3Ru2 (GGA-PBE)

Data for an optimized crystal structure of La2Al3Ru2.

Space group: No. 12
Volume: 146.0 Å³ per cell
Uncorrected energy: -43.5 eV/f.u.

Lattice parameters (Å, degrees): 4.107 5.651 7.525 114.31 90.00 111.31
Positions (direct):
1 Ru 0.875 0.751 0.791
2 Ru 0.125 0.249 0.209
3 La 0.860 0.720 0.239
4 La 0.140 0.280 0.761
5 Al 0.351 0.703 0.564
6 Al 0.500 0.000 0.000
7 Al 0.649 0.297 0.436



17.
## LaAl2Ru2 (GGA-PBE)

Data for an optimized crystal structure of LaAl2Ru2.

Space group: No. 127
Volume: 172.3 Å³ per cell
Uncorrected energy: -33.4 eV/f.u.

Lattice parameters (Å, degrees): 7.492 7.492 3.070 90.00 90.00 90.00
Positions (direct):
1 Ru 0.844 0.656 0.000
2 Ru 0.344 0.844 0.000
3 Ru 0.656 0.156 0.000
4 Ru 0.156 0.344 0.000
5 Al 0.368 0.132 0.500
6 Al 0.868 0.368 0.500
7 Al 0.132 0.632 0.500
8 Al 0.632 0.868 0.500
9 La 0.500 0.500 0.000
10 La 0.000 0.000 0.000



18.
## LaAl2Ru2 (GGA-PBE)

Data for an optimized crystal structure of LaAl2Ru2.

Space group: No. 139
Volume: 189.8 Å³ per cell
Uncorrected energy: -33.3 eV/f.u.

Lattice parameters (Å, degrees): 4.152 4.152 11.393 100.50 100.50 90.00
Positions (direct):
1 Ru 0.250 0.750 0.500
2 Ru 0.932 0.932 0.864
3 Ru 0.068 0.068 0.136
4 Ru 0.750 0.250 0.500
5 Al 0.000 0.500 0.000
6 Al 0.813 0.813 0.627
7 Al 0.187 0.187 0.373
8 Al 0.500 0.000 0.000
9 La 0.372 0.372 0.744
10 La 0.628 0.628 0.256



19.
## LaAl2Ru (GGA-PBE)

Data for an optimized crystal structure of LaAl2Ru.

Space group: No. 166
Volume: 86.8 Å³ per cell
Uncorrected energy: -23.6 eV/f.u.

Lattice parameters (Å, degrees): 4.288 4.288 5.988 68.99 68.99 59.97
Positions (direct):
1 Al 0.548 0.548 0.357
2 Al 0.952 0.952 0.143
3 La 0.750 0.750 0.750
4 Ru 0.250 0.250 0.250



20.
## LaAl2Ru (GGA-PBE)

Data for an optimized crystal structure of LaAl2Ru.

Space group: No. 62
Volume: 652.2 Å³ per cell
Uncorrected energy: -24.0 eV/f.u.

Lattice parameters (Å, degrees): 5.799 7.278 15.454 90.00 90.00 90.00
Positions (direct):
1 Al 0.055 0.953 0.791
2 Al 0.555 0.047 0.709
3 Al 0.555 0.453 0.709
4 Al 0.296 0.435 0.450
5 Al 0.445 0.953 0.291
6 Al 0.796 0.565 0.050
7 Al 0.704 0.935 0.550
8 Al 0.445 0.547 0.291
9 Al 0.204 0.435 0.950
10 Al 0.704 0.565 0.550
11 Al 0.945 0.453 0.209
12 Al 0.796 0.935 0.050
13 Al 0.945 0.047 0.209
14 Al 0.296 0.065 0.450
15 Al 0.204 0.065 0.950
16 Al 0.055 0.547 0.791
17 La 0.780 0.250 0.404
18 La 0.038 0.250 0.634
19 La 0.280 0.750 0.096
20 La 0.720 0.250 0.904
21 La 0.220 0.750 0.596
22 La 0.538 0.750 0.866
23 La 0.962 0.750 0.366
24 La 0.462 0.250 0.134
25 Ru 0.506 0.750 0.426
26 Ru 0.299 0.250 0.806
27 Ru 0.006 0.250 0.074
28 Ru 0.201 0.250 0.306
29 Ru 0.799 0.750 0.694
30 Ru 0.494 0.250 0.574
31 Ru 0.994 0.750 0.926
32 Ru 0.701 0.750 0.194